[1]
First-principles (PBE-GGA) data for crystalline ZrURu5 at its relaxed geometry, as listed in Alexandria.

Lattice parameters (Å, degrees): 4.233 4.233 6.668 90.00 90.00 90.00
Space group P4/mmm (No. 123)
Inequivalent atoms, fractional coordinates:
Zr  0.000  0.000  0.000 [1 per cell]
U  0.500  0.500  0.500 [1 per cell]
Ru  0.000  0.500  0.283 [4 per cell]
Ru  0.500  0.500  0.000 [1 per cell]

Output
- D(E_F): 7.8 states/eV/cell
- E_form: -0.006 eV/atom


[2]
First-principles (PBE-GGA) data for crystalline Zr2URu at its relaxed geometry, as listed in Alexandria.

Lattice parameters (Å, degrees): 3.214 3.214 7.927 90.00 90.00 90.00
Space group P4/mmm (No. 123)
Inequivalent atoms, fractional coordinates:
Zr  0.000  0.000  0.211 [2 per cell]
U  0.500  0.500  0.500 [1 per cell]
Ru  0.500  0.500  0.000 [1 per cell]

Output
- D(E_F): 6.7 states/eV/cell
- E_form: -0.113 eV/atom


[3]
First-principles (PBE-GGA) data for crystalline Zr2URu at its relaxed geometry, as listed in Alexandria.

Lattice parameters (Å, degrees): 6.776 6.776 6.776 90.00 90.00 90.00
Space group Fm-3m (No. 225)
Inequivalent atoms, fractional coordinates:
Zr  0.250  0.250  0.250 [8 per cell]
U  0.000  0.000  0.000 [4 per cell]
Ru  0.000  0.000  0.500 [4 per cell]

Output
- D(E_F): 18.6 states/eV/cell
- E_form: 0.092 eV/atom


[4]
First-principles (PBE-GGA) data for crystalline ZrURu4 at its relaxed geometry, as listed in Alexandria.

Lattice parameters (Å, degrees): 7.440 7.440 7.440 90.00 90.00 90.00
Space group F-43m (No. 216)
Inequivalent atoms, fractional coordinates:
Zr  0.000  0.000  0.000 [4 per cell]
U  0.250  0.250  0.250 [4 per cell]
Ru  0.125  0.125  0.625 [16 per cell]

Output
- D(E_F): 53.4 states/eV/cell
- E_form: -0.164 eV/atom


[5]
First-principles (PBE-GGA) data for crystalline Zr2URu at its relaxed geometry, as listed in Alexandria.

Lattice parameters (Å, degrees): 4.943 4.943 3.228 90.00 90.00 90.00
Space group P4/mmm (No. 123)
Inequivalent atoms, fractional coordinates:
Zr  0.000  0.500  0.000 [2 per cell]
U  0.000  0.000  0.500 [1 per cell]
Ru  0.500  0.500  0.500 [1 per cell]

Output
- D(E_F): 8.1 states/eV/cell
- E_form: 0.081 eV/atom


[6]
First-principles (PBE-GGA) data for crystalline VRu at its relaxed geometry, as listed in Alexandria.

Lattice parameters (Å, degrees): 2.970 2.970 6.239 90.00 90.00 90.00
Space group P4/nmm (No. 129, origin choice 2)
Inequivalent atoms, fractional coordinates:
V  0.250  0.250  0.126 [2 per cell]
Ru  0.250  0.250  0.656 [2 per cell]

Output
- D(E_F): 3.7 states/eV/cell
- E_form: -0.202 eV/atom